(1)
# K2CeOsO8

A relaxed K2CeOsO8 crystal (PBE, the Alexandria database).

Cell lengths 5.464, 5.442, 6.544 Å; angles 89.61, 90.27, 89.77 degrees
Fractional positions:
O 0.703 0.860 0.998
O 0.094 0.782 0.779
O 0.092 0.781 0.225
O 0.581 0.899 0.500
O 0.419 0.101 0.500
O 0.906 0.218 0.221
O 0.297 0.140 0.002
O 0.908 0.219 0.775
K 0.500 0.498 0.763
K 0.500 0.502 0.237
Os 0.000 0.000 0.000
Ce 0.000 0.000 0.500

Properties
Calculated volume (A^3/atom): 16.22
DOS(E_F) (states/eV/f.u.): 3.891
Final energy (eV per atom): -6.47
ΔE_f (raw) (eV/f.u.): -18.62

***

(2)
# RbPtO3

A relaxed RbPtO3 crystal (PBE, the Alexandria database).

Cell lengths 5.464, 8.110, 8.110 Å; angles 85.94, 90.15, 90.15 degrees
Fractional positions:
O 0.940 0.893 0.282
O 0.060 0.107 0.718
O 0.922 0.154 0.015
O 0.645 0.223 0.557
O 0.145 0.557 0.223
O 0.440 0.282 0.893
O 0.855 0.443 0.777
O 0.578 0.985 0.846
O 0.078 0.846 0.985
O 0.560 0.718 0.107
O 0.422 0.015 0.154
O 0.355 0.777 0.443
Pt 0.750 0.928 0.072
Pt 0.250 0.072 0.928
Pt 0.750 0.221 0.779
Pt 0.250 0.779 0.221
Rb 0.684 0.407 0.195
Rb 0.816 0.805 0.593
Rb 0.316 0.593 0.805
Rb 0.184 0.195 0.407

Properties
Calculated volume (A^3/atom): 17.92
DOS(E_F) (states/eV/f.u.): 2.310
Final energy (eV per atom): -5.15
ΔE_f (raw) (eV/f.u.): -3.84

***

(3)
# MnReRh2

A relaxed MnReRh2 crystal (PBE, the Alexandria database).

Cell lengths 4.672, 4.672, 4.690 Å; angles 79.70, 79.70, 33.94 degrees
Fractional positions:
Mn 0.501 0.501 0.510
Rh 0.752 0.752 0.735
Rh 0.999 0.999 0.016
Re 0.248 0.248 0.239

Properties
Calculated volume (A^3/atom): 14.04
Energy of formation (eV per atom): -0.0433
Energy above the most stable polymorph in this dataset (kJ per mole of atoms): 6.0
DOS(E_F) (states/eV/f.u.): 4.804
Final energy (eV per atom): -9.12

***

(4)
# BaCuS2

A relaxed BaCuS2 crystal (PBE, the Alexandria database).

Cell lengths 4.498, 4.498, 9.143 Å; angles 90.00, 90.00, 90.00 degrees
Fractional positions:
S 0.250 0.250 0.151
S 0.750 0.250 0.500
S 0.250 0.750 0.500
S 0.750 0.750 0.849
Cu 0.250 0.250 0.405
Cu 0.750 0.750 0.595
Ba 0.750 0.750 0.195
Ba 0.250 0.250 0.805

Properties
Calculated volume (A^3/atom): 23.12
DOS(E_F) (states/eV/f.u.): 1.834
Final energy (eV per atom): -4.71
ΔE_f (raw) (eV/f.u.): -4.56

***

(5)
# Pm4N3

A relaxed Pm4N3 crystal (PBE, the Alexandria database).

Cell lengths 5.104, 5.104, 5.104 Å; angles 90.00, 90.00, 90.00 degrees
Fractional positions:
Pm 0.000 0.000 0.000
Pm 0.500 0.500 0.000
Pm 0.500 0.000 0.500
Pm 0.000 0.500 0.500
N 0.000 0.500 0.000
N 0.000 0.000 0.500
N 0.500 0.000 0.000

Properties
Calculated volume (A^3/atom): 19.00
DOS(E_F) (states/eV/f.u.): 3.030
Final energy (eV per atom): -7.47
ΔE_f (raw) (eV/f.u.): -8.28

***

(6)
# SmPuCuAg

A relaxed SmPuCuAg crystal (PBE, the Alexandria database).

Cell lengths 5.123, 5.123, 5.123 Å; angles 60.00, 60.00, 60.00 degrees
Fractional positions:
Cu 0.250 0.250 0.250
Pu 0.000 0.000 0.000
Ag 0.750 0.750 0.750
Sm 0.500 0.500 0.500

Properties
Calculated volume (A^3/atom): 23.77
Energy of formation (eV per atom): 0.0078
DOS(E_F) (states/eV/f.u.): 11.213
Final energy (eV per atom): -6.49

***

(7)
# HgOsIO2

A relaxed HgOsIO2 crystal (PBE, the Alexandria database).

Cell lengths 4.087, 4.087, 6.827 Å; angles 90.00, 90.00, 90.00 degrees
Fractional positions:
I 0.000 0.000 0.500
Hg 0.000 0.000 0.000
Os 0.500 0.500 0.500
O 0.000 0.500 0.000
O 0.500 0.000 0.000

Properties
Calculated volume (A^3/atom): 22.81
Energy above the most stable polymorph in this dataset (kJ per mole of atoms): 146.7
DOS(E_F) (states/eV/f.u.): 5.783
Final energy (eV per atom): -3.26
ΔE_f (raw) (eV/f.u.): 6.72

***

(8)
# DyYS

A relaxed DyYS crystal (PBE, the Alexandria database).

Cell lengths 3.808, 6.629, 12.410 Å; angles 90.00, 90.00, 90.00 degrees
Fractional positions:
S 0.250 0.914 0.877
S 0.750 0.086 0.123
S 0.250 0.586 0.377
S 0.750 0.414 0.623
Dy 0.750 0.757 0.504
Dy 0.750 0.743 0.004
Dy 0.250 0.243 0.496
Dy 0.250 0.257 0.996
Y 0.250 0.581 0.751
Y 0.750 0.081 0.749
Y 0.750 0.419 0.249
Y 0.250 0.919 0.251

Properties
Calculated volume (A^3/atom): 26.11
Energy above the most stable polymorph in this dataset (kJ per mole of atoms): 1.5
DOS(E_F) (states/eV/f.u.): 2.276
Final energy (eV per atom): -6.34
ΔE_f (raw) (eV/f.u.): -3.84

***

(9)
# Ir2PdRh

A relaxed Ir2PdRh crystal (PBE, the Alexandria database).

Cell lengths 3.883, 3.880, 3.880 Å; angles 90.00, 90.00, 90.00 degrees
Fractional positions:
Pd 0.500 0.000 0.000
Rh 0.500 0.500 0.500
Ir 0.000 0.500 0.000
Ir 0.000 0.000 0.500

Properties
Calculated volume (A^3/atom): 14.61
Energy of formation (eV per atom): 0.1427
Energy above the most stable polymorph in this dataset (kJ per mole of atoms): 9.3
DOS(E_F) (states/eV/f.u.): 7.139
Final energy (eV per atom): -7.42

***

(10)
# TmTh2Sb4

A relaxed TmTh2Sb4 crystal (PBE, the Alexandria database).

Cell lengths 8.094, 8.094, 8.094 Å; angles 109.80, 108.81, 109.80 degrees
Fractional positions:
Sb 0.637 0.757 0.038
Sb 0.469 0.098 0.212
Sb 0.120 0.402 0.363
Sb 0.113 0.902 0.370
Sb 0.788 0.257 0.887
Sb 0.630 0.743 0.531
Sb 0.962 0.598 0.719
Sb 0.281 0.243 0.880
Tm 0.750 0.500 0.250
Tm 0.000 0.000 0.000
Th 0.375 0.870 0.745
Th 0.495 0.370 0.625
Th 0.875 0.130 0.505
Th 0.255 0.630 0.125

Properties
Calculated volume (A^3/atom): 29.15
DOS(E_F) (states/eV/f.u.): 3.576
Final energy (eV per atom): -5.99
ΔE_f (raw) (eV/f.u.): -6.14

***

(11)
# MgZnPCl2

A relaxed MgZnPCl2 crystal (PBE, the Alexandria database).

Cell lengths 4.706, 4.706, 5.609 Å; angles 90.00, 90.00, 90.00 degrees
Fractional positions:
Cl 0.500 0.000 0.000
Cl 0.000 0.500 0.000
Mg 0.000 0.000 0.000
Zn 0.500 0.500 0.500
P 0.000 0.000 0.500

Properties
Calculated volume (A^3/atom): 24.85
Energy above the most stable polymorph in this dataset (kJ per mole of atoms): 0.0
DOS(E_F) (states/eV/f.u.): 2.432
Final energy (eV per atom): -2.62
ΔE_f (raw) (eV/f.u.): -1.14

***

(12)
# Pa2Co2Sb

A relaxed Pa2Co2Sb crystal (PBE, the Alexandria database).

Cell lengths 3.639, 7.238, 7.238 Å; angles 90.00, 90.00, 90.00 degrees
Fractional positions:
Sb 0.000 0.500 0.500
Sb 0.000 0.000 0.000
Co 0.000 0.630 0.130
Co 0.000 0.870 0.630
Co 0.000 0.370 0.870
Co 0.000 0.130 0.370
Pa 0.500 0.327 0.173
Pa 0.500 0.173 0.673
Pa 0.500 0.827 0.327
Pa 0.500 0.673 0.827

Properties
Calculated volume (A^3/atom): 19.06
Energy above the most stable polymorph in this dataset (kJ per mole of atoms): 0.0
DOS(E_F) (states/eV/f.u.): 3.701
Final energy (eV per atom): -8.01
ΔE_f (raw) (eV/f.u.): -2.74